1.
# AsRh3F

AsRh3F after structural relaxation (PBE, Alexandria via LeMat-Bulk).

Cell: 4.2818 4.2818 4.2818 Å, 90.00 90.00 90.00°
Last column: nearest neighbours and their distance in Å.
Fractional positions:
1 As 0.5000 0.5000 0.5000  12 Rh 3.03
2 Rh 0.0000 0.5000 0.0000  2 F 2.14
3 Rh 0.0000 0.0000 0.5000  2 F 2.14
4 Rh 0.5000 0.0000 0.0000  2 F 2.14
5 F 0.0000 0.0000 0.0000  6 Rh 2.14

Summary:
Mass density = 8.52 g cm⁻³
Calculated volume = 78.50 Å³ per cell
Total moment = 2.21 μB per formula unit
Raw formation energy = 612 meV per atom

---

2.
# TlBiSe

TlBiSe after structural relaxation (PBE, Alexandria via LeMat-Bulk).

Cell: 5.6391 6.7820 7.9796 Å, 52.45 90.00 114.57°
Last column: nearest neighbours and their distance in Å.
Fractional positions:
1 Bi 0.1580 0.3160 0.2671  3 Se 2.95-3.09, 1 Bi 3.10
2 Bi 0.8420 0.6840 0.7329  3 Se 2.95-3.09, 1 Bi 3.10
3 Tl 0.4516 0.9032 0.2768  2 Se 3.11-3.29
4 Tl 0.5484 0.0968 0.7232  2 Se 3.11-3.29
5 Se 0.2517 0.5034 0.7982  3 Bi 2.95-3.09, 2 Tl 3.11-3.29
6 Se 0.7483 0.4966 0.2018  3 Bi 2.95-3.09, 2 Tl 3.11-3.29

Summary:
Mass density = 7.94 g cm⁻³
Calculated volume = 206.03 Å³ per cell
Total moment = 0.00 μB per formula unit
Raw formation energy = -150 meV per atom

---

3.
# K2TiZnSe4

K2TiZnSe4 after structural relaxation (PBE, Alexandria via LeMat-Bulk).

Cell: 7.2780 7.2759 6.9943 Å, 121.27 121.28 90.12°
Last column: nearest neighbours and their distance in Å.
Fractional positions:
1 K 0.4849 0.9848 0.9697  4 Se 3.27
2 K 0.2349 0.2350 0.4701  4 Se 3.37
3 Ti 0.7360 0.7360 0.4720  4 Se 2.41
4 Zn 0.9861 0.4861 0.9721  4 Se 2.48
5 Se 0.7098 0.6238 0.7287  1 Ti 2.41, 1 Zn 2.48
6 Se 0.8484 0.4535 0.2161  1 Ti 2.41, 1 Zn 2.48
7 Se 0.3679 0.7628 0.2163  1 Ti 2.41, 1 Zn 2.48
8 Se 0.0190 0.1050 0.7290  1 Ti 2.41, 1 Zn 2.48

Summary:
Mass density = 3.35 g cm⁻³
Calculated volume = 251.16 Å³ per cell
Total moment = 0.00 μB per formula unit
Raw formation energy = -1057 meV per atom

---

4.
# K3TlV2Cl9

K3TlV2Cl9 after structural relaxation (PBE, Alexandria via LeMat-Bulk).

Cell: 7.0650 7.0650 10.2740 Å, 90.00 90.00 120.00°
Last column: nearest neighbours and their distance in Å.
Fractional positions:
1 K 0.3333 0.6667 0.7486  9 Cl 3.29-3.54
2 K 0.0000 0.0000 0.0000  12 Cl 3.51-3.53
3 K 0.6667 0.3333 0.2514  9 Cl 3.29-3.54
4 Tl 0.0000 0.0000 0.5000  6 Cl 3.14
5 V 0.3333 0.6667 0.1472  6 Cl 2.36-2.54
6 V 0.6667 0.3333 0.8528  6 Cl 2.36-2.54
7 Cl 0.8281 0.1719 0.7266  1 V 2.36
8 Cl 0.8281 0.6562 0.7266  1 V 2.36
9 Cl 0.3438 0.1719 0.7266  1 V 2.36
10 Cl 0.6562 0.8281 0.2734  1 V 2.36
11 Cl 0.1719 0.3438 0.2734  1 V 2.36
12 Cl 0.1719 0.8281 0.2734  1 V 2.36
13 Cl 0.5000 0.0000 0.0000  2 V 2.54
14 Cl 0.0000 0.5000 0.0000  2 V 2.54
15 Cl 0.5000 0.5000 0.0000  2 V 2.54

Summary:
Mass density = 2.78 g cm⁻³
Calculated volume = 444.11 Å³ per cell
Total moment = 5.00 μB per formula unit
Raw formation energy = -1454 meV per atom

---

5.
# LaTeAu2

LaTeAu2 after structural relaxation (PBE, Alexandria via LeMat-Bulk).

Cell: 4.4964 4.4964 4.9320 Å, 90.00 90.00 90.00°
Last column: nearest neighbours and their distance in Å.
Fractional positions:
1 Au 0.0000 0.0000 0.0000  4 Au 3.18, 4 Te 3.34, 4 La 3.34
2 Au 0.5000 0.5000 0.0000  4 Au 3.18, 4 La 3.34, 4 Te 3.34
3 La 0.5000 0.0000 0.5000  4 Te 3.18, 8 Au 3.34
4 Te 0.0000 0.5000 0.5000  4 La 3.18, 8 Au 3.34

Summary:
Mass density = 11.00 g cm⁻³
Calculated volume = 99.71 Å³ per cell
Total moment = 0.00 μB per formula unit
Raw formation energy = -678 meV per atom

---

6.
# Hf2SiPdI

Hf2SiPdI after structural relaxation (PBE, Alexandria via LeMat-Bulk).

Cell: 5.2181 4.7821 5.2181 Å, 90.00 90.00 90.00°
Last column: nearest neighbours and their distance in Å.
Fractional positions:
1 I 0.0000 0.0000 0.0000  2 Pd 2.39, 4 Hf 2.61
2 Si 0.5000 0.5000 0.5000  8 Hf 3.54, 4 Pd 3.69
3 Hf 0.0000 0.0000 0.5000  2 I 2.61
4 Hf 0.5000 0.0000 0.0000  2 I 2.61
5 Pd 0.0000 0.5000 0.0000  2 I 2.39

Summary:
Mass density = 7.89 g cm⁻³
Calculated volume = 130.21 Å³ per cell
Total moment = 0.00 μB per formula unit
Raw formation energy = 1197 meV per atom

---

7.
# HoSc5Tl4

HoSc5Tl4 after structural relaxation (PBE, Alexandria via LeMat-Bulk).

Cell: 7.3618 9.3673 8.0396 Å, 90.00 90.00 90.00°
Last column: nearest neighbours and their distance in Å.
Fractional positions:
1 Ho 0.5418 0.0000 0.0000  4 Tl 3.17
2 Ho 0.4582 0.5000 0.5000  4 Tl 3.17
3 Sc 0.2199 0.7810 0.7917  4 Tl 2.95-3.05, 1 Sc 3.23
4 Sc 0.2199 0.2190 0.7917  4 Tl 2.95-3.05, 1 Sc 3.23
5 Sc 0.8942 0.5000 0.0000  4 Tl 2.86-3.11
6 Sc 0.2199 0.7810 0.2083  4 Tl 2.95-3.05, 1 Sc 3.23
7 Sc 0.2199 0.2190 0.2083  4 Tl 2.95-3.05, 1 Sc 3.23
8 Sc 0.7801 0.7190 0.2917  4 Tl 2.95-3.05, 1 Sc 3.23
9 Sc 0.7801 0.2810 0.2917  4 Tl 2.95-3.05, 1 Sc 3.23
10 Sc 0.1058 0.0000 0.5000  4 Tl 2.86-3.11
11 Sc 0.7801 0.2810 0.7083  4 Tl 2.95-3.05, 1 Sc 3.23
12 Sc 0.7801 0.7190 0.7083  4 Tl 2.95-3.05, 1 Sc 3.23
13 Tl 0.9200 0.0000 0.8117  5 Sc 2.86-3.02, 1 Tl 3.03, 1 Ho 3.17
14 Tl 0.5256 0.6617 0.0000  5 Sc 3.02-3.11, 1 Tl 3.03, 1 Ho 3.17
15 Tl 0.5256 0.3383 0.0000  5 Sc 3.02-3.11, 1 Tl 3.03, 1 Ho 3.17
16 Tl 0.9200 0.0000 0.1883  5 Sc 2.86-3.02, 1 Tl 3.03, 1 Ho 3.17
17 Tl 0.0800 0.5000 0.3117  5 Sc 2.86-3.02, 1 Tl 3.03, 1 Ho 3.17
18 Tl 0.4744 0.8383 0.5000  5 Sc 3.02-3.11, 1 Tl 3.03, 1 Ho 3.17
19 Tl 0.4744 0.1617 0.5000  5 Sc 3.02-3.11, 1 Tl 3.03, 1 Ho 3.17
20 Tl 0.0800 0.5000 0.6883  5 Sc 2.86-3.02, 1 Tl 3.03, 1 Ho 3.17

Summary:
Mass density = 7.23 g cm⁻³
ΔH_f (0 K) = 0.058 eV per atom
Calculated volume = 554.41 Å³ per cell
Total moment = 0.00 μB per formula unit

---

8.
# Dy2Zn3Pd

Dy2Zn3Pd after structural relaxation (PBE, Alexandria via LeMat-Bulk).

Cell: 3.5573 4.4448 7.6969 Å, 90.00 90.00 90.00°
Last column: nearest neighbours and their distance in Å.
Fractional positions:
1 Dy 0.0000 0.5000 0.0169  2 Pd 3.03, 10 Zn 3.05-3.19
2 Dy 0.0000 0.0000 0.4845  4 Pd 3.07, 8 Zn 3.08-3.20
3 Zn 0.5000 0.0000 0.8294  3 Zn 2.52-2.53
4 Zn 0.5000 0.0000 0.1578  1 Zn 2.53, 2 Pd 2.61
5 Zn 0.5000 0.5000 0.6756  2 Zn 2.52, 1 Pd 2.61
6 Pd 0.5000 0.5000 0.3359  3 Zn 2.61

Summary:
Mass density = 8.56 g cm⁻³
ΔH_f (0 K) = -0.534 eV per atom
Calculated volume = 121.70 Å³ per cell
Total moment = 0.00 μB per formula unit

---

9.
# ZrFe2Tc2

ZrFe2Tc2 after structural relaxation (PBE, Alexandria via LeMat-Bulk).

Cell: 3.8832 3.8832 5.7241 Å, 70.17 70.17 90.00°
Last column: nearest neighbours and their distance in Å.
Fractional positions:
1 Tc 0.7500 0.2500 0.5000  4 Fe 2.43
2 Tc 0.2500 0.7500 0.5000  4 Fe 2.43
3 Zr 0.0000 0.0000 0.0000  8 Fe 2.94, 8 Tc 3.17
4 Fe 0.3963 0.3963 0.2075  1 Fe 2.08
5 Fe 0.6037 0.6037 0.7925  1 Fe 2.08

Summary:
Mass density = 8.75 g cm⁻³
ΔH_f (0 K) = 0.006 eV per atom
Calculated volume = 75.73 Å³ per cell
Total moment = 0.00 μB per formula unit

---

10.
# LaPm2Ru

LaPm2Ru after structural relaxation (PBE, Alexandria via LeMat-Bulk).

Cell: 6.5459 7.3350 9.8560 Å, 90.00 90.00 90.00°
Last column: nearest neighbours and their distance in Å.
Fractional positions:
1 La 0.6422 0.5540 0.2500  2 Ru 2.64-2.91
2 La 0.8578 0.0540 0.2500  2 Ru 2.64-2.91
3 La 0.3578 0.4460 0.7500  2 Ru 2.64-2.91
4 La 0.1422 0.9460 0.7500  2 Ru 2.64-2.91
5 Pm 0.1718 0.6711 0.0675  2 Ru 2.95-3.01
6 Pm 0.3282 0.1711 0.4325  2 Ru 2.95-3.01
7 Pm 0.8282 0.3289 0.5675  2 Ru 2.95-3.01
8 Pm 0.6718 0.8289 0.9325  2 Ru 2.95-3.01
9 Pm 0.8282 0.3289 0.9325  2 Ru 2.95-3.01
10 Pm 0.6718 0.8289 0.5675  2 Ru 2.95-3.01
11 Pm 0.1718 0.6711 0.4325  2 Ru 2.95-3.01
12 Pm 0.3282 0.1711 0.0675  2 Ru 2.95-3.01
13 Ru 0.0390 0.3759 0.2500  2 La 2.64-2.91, 2 Pm 2.95
14 Ru 0.4610 0.8759 0.2500  2 La 2.64-2.91, 2 Pm 2.95
15 Ru 0.9610 0.6241 0.7500  2 La 2.64-2.91, 2 Pm 2.95
16 Ru 0.5390 0.1241 0.7500  2 La 2.64-2.91, 2 Pm 2.95

Summary:
Mass density = 7.44 g cm⁻³
ΔH_f (0 K) = -0.234 eV per atom
Calculated volume = 473.23 Å³ per cell
Total moment = 0.00 μB per formula unit

---

- What is the calculated volume in the fifth record?
  99.71 Å³ per cell

---

- Which value of calculated volume does entry 7 give?
  554.41 Å³ per cell

---

- Look up the total moment of the fifth one.
  0.00 μB per formula unit

---

- Number 6 is which compound?
  Hf2SiPdI